Entry 1:
Density functional theory data (PBE) for a geometry-optimized ErScCCl structure.

Computed properties:
Its volume is 76.5 Å³/cell. As for the final energy: -6.206 eV per atom.

Cell: 3.462 3.462 7.636 Å, 77.00 76.99 59.99°
Sites, in units of the cell vectors:
Er: 0.699 0.962 0.594
Sc: 0.573 0.836 0.966
C: 0.958 0.221 0.814
Cl: 0.454 0.716 0.329

***

Entry 2:
Density functional theory data (PBE) for a geometry-optimized Cs2ZnSiTe4 structure.

Computed properties:
Its volume is 695.1 Å³/cell. As for the final energy: -3.260 eV per atom.

Cell: 6.672 8.287 14.132 Å, 84.55 76.34 66.26°
Sites, in units of the cell vectors:
Cs: 0.183 0.000 0.635
Cs: 0.817 0.000 0.365
Cs: 0.567 0.500 0.865
Cs: 0.933 0.500 0.135
Zn: 0.750 0.500 0.500
Zn: 0.000 0.000 0.000
Si: 0.250 0.500 0.500
Si: 0.500 0.000 0.000
Te: 0.309 0.814 0.105
Te: 0.227 0.186 0.895
Te: 0.877 0.814 0.895
Te: 0.586 0.186 0.105
Te: 0.441 0.686 0.395
Te: 0.523 0.314 0.605
Te: 0.873 0.686 0.605
Te: 0.164 0.314 0.395